{
  "formula": "SrDy2CoO5",
  "functional": "PBE+U",
  "state": "relaxed",
  "mass_density_g_cm3": 7.436,
  "energy_ev_per_cell": -65.8,
  "cell": [[-2.656, 0.167, -2.626], [-3.726, -2.447, 3.613], [1.634, 6.326, 1.413]],
  "species": ["Dy", "Co", "O", "O", "O", "O", "Sr", "O", "Dy"],
  "frac_coords": [[0.797, 0.797, 0.595], [0.500, 0.000, 0.000], [0.648, 0.395, 0.296], [0.648, 0.902, 0.296], [0.352, 0.098, 0.704], [0.352, 0.605, 0.704], [0.000, 0.500, 0.000], [0.000, 0.000, 0.000], [0.203, 0.203, 0.405]]
}